Entry from Alexandria via LeMat-Bulk: crystalline BaCaCrO4 at its relaxed geometry (GGA+U).

Unit cell a=6.3347 b=6.3347 c=6.3347 alpha=60.00 beta=60.00 gamma=60.00
Each line ends with the local moment (μB).
Fractional positions:
Ba1 0.7500 0.7500 0.7500  0.02
Ca1 0.5000 0.5000 0.5000  0.00
Cr1 0.2500 0.2500 0.2500  1.97
O1 0.3645 0.3645 0.9064  -0.03
O2 0.3645 0.3645 0.3645  -0.03
O3 0.3645 0.9064 0.3645  -0.03
O4 0.9064 0.3645 0.3645  -0.03

Total DFT energy (no corrections) = -6.37 eV/atom
Crystal system = cubic